Dy3Er8Th3 GGA-PBE optimized geometry; total magnetic moment = 0.00 μB per formula unit; energy = -5.032 eV/atom
1.0
-2.7992 5.3236 7.4331
2.7992 -5.3236 7.4331
2.7992 5.3236 -7.4331
Dy Er Th
3 8 3
Direct
0.0000 0.0000 0.0000
0.3053 0.0000 0.3053
0.6947 0.0000 0.6947
0.0556 0.3969 0.6587
0.0649 0.2234 0.8415
0.2618 0.6031 0.6587
0.3820 0.2234 0.1585
0.6180 0.7766 0.8415
0.7382 0.3969 0.3413
0.9351 0.7766 0.1585
0.9444 0.6031 0.3413
0.3149 0.8149 0.5000
0.5000 0.5000 0.0000
0.6851 0.1851 0.5000